11
Lattice="-3.0748 2.5959 -3.9402 -0.6375 -6.7775 -3.9676 -7.8598 -1.0446 5.4453" Properties=species:S:1:pos:R:3 comment="K4Tl5Hg2 (PBE-GGA, optimized geometry)" space_group="P2/m, No. 10" vol_a3_per_cell=423.5 ef_ev_per_atom=-0.0967 pbc="T T T"
Tl -7.4218 -6.6527 1.4088
Tl -2.9575 -3.9069 -0.2659
Tl -0.3187 -3.3887 -1.9838
Tl -5.5397 -3.9152 1.7436
Tl -1.0755 -1.1694 0.0689
Hg -5.1589 -1.2610 3.1950
Hg -3.3384 -6.5610 -1.7174
K -6.6805 -4.4847 -1.7663
K -8.5569 -1.1679 1.8831
K -3.0151 -4.0582 -4.3456
K -4.8916 -0.7415 -0.6963